First-principles (SCAN) data for a PBEsol-optimized structure of Ta4NiTe4, as listed in Alexandria.

Computed properties:
Energy = -48.295 eV/atom
Total magnetization = 0.00 μB per formula unit

Cell lengths 4.7145, 10.6113, 18.0966 Å; angles 90.00, 90.00, 90.00 degrees
With the nearest neighbours (Å) after each atom.
Fractional coordinates of all 36 atoms:
1 Te 0.0000 0.1069 0.2089  4 Ta 2.84-2.88
2 Te 0.0000 0.3585 0.9361  4 Ta 2.84-2.88
3 Te 0.5000 0.3310 0.1039  4 Ta 2.85-2.89
4 Te 0.0000 0.6415 0.0639  4 Ta 2.84-2.88
5 Ta 0.0000 0.6926 0.4397  2 Ni 2.60, 4 Te 2.84-2.89
6 Te 0.0000 0.8585 0.5639  4 Ta 2.84-2.88
7 Te 0.0000 0.6069 0.2911  4 Ta 2.84-2.88
8 Ta 0.5000 0.7909 0.0364  2 Ni 2.60, 4 Te 2.83-2.88
9 Ta 0.5000 0.2091 0.9636  2 Ni 2.60, 4 Te 2.83-2.88
10 Ta 0.0000 0.1926 0.0603  2 Ni 2.60, 4 Te 2.84-2.89
11 Ni 0.7501 0.5000 0.5000  2 Ni 2.36, 8 Ta 2.58-2.60
12 Ta 0.5000 0.9358 0.8786  2 Ni 2.58, 4 Te 2.83-2.88
13 Ni 0.2499 0.5000 0.5000  2 Ni 2.36, 8 Ta 2.58-2.60
14 Ta 0.5000 0.5642 0.3786  2 Ni 2.58, 4 Te 2.83-2.88
15 Ta 0.0000 0.8968 0.1117  2 Ni 2.58, 4 Te 2.84-2.87
16 Te 0.5000 0.1743 0.8084  4 Ta 2.83-2.87
17 Te 0.0000 0.3931 0.7089  4 Ta 2.84-2.88
18 Te 0.5000 0.3257 0.3084  4 Ta 2.83-2.87
19 Te 0.0000 0.8931 0.7911  4 Ta 2.84-2.88
20 Ta 0.5000 0.0642 0.1214  2 Ni 2.58, 4 Te 2.83-2.88
21 Te 0.5000 0.6690 0.8961  4 Ta 2.85-2.89
22 Ta 0.0000 0.8074 0.9397  2 Ni 2.60, 4 Te 2.84-2.89
23 Ni 0.2499 0.0000 0.0000  2 Ni 2.36, 8 Ta 2.58-2.60
24 Te 0.5000 0.8257 0.1916  4 Ta 2.83-2.87
25 Ta 0.5000 0.2909 0.4636  2 Ni 2.60, 4 Te 2.83-2.88
26 Ta 0.0000 0.6032 0.6117  2 Ni 2.58, 4 Te 2.84-2.87
27 Ta 0.5000 0.4358 0.6214  2 Ni 2.58, 4 Te 2.83-2.88
28 Ta 0.0000 0.3968 0.3883  2 Ni 2.58, 4 Te 2.84-2.87
29 Te 0.5000 0.8310 0.3961  4 Ta 2.85-2.89
30 Ta 0.0000 0.1032 0.8883  2 Ni 2.58, 4 Te 2.84-2.87
31 Ni 0.7501 0.0000 0.0000  2 Ni 2.36, 8 Ta 2.58-2.60
32 Ta 0.5000 0.7091 0.5364  2 Ni 2.60, 4 Te 2.83-2.88
33 Te 0.5000 0.6743 0.6916  4 Ta 2.83-2.87
34 Te 0.0000 0.1415 0.4361  4 Ta 2.84-2.88
35 Ta 0.0000 0.3074 0.5603  2 Ni 2.60, 4 Te 2.84-2.89
36 Te 0.5000 0.1690 0.6039  4 Ta 2.85-2.89